Computed, not measured: a relaxed structure of Pr2ReB5Os2 at the PBE level of DFT.

Lattice parameters (Å, degrees): 5.7490 5.7490 8.1204 122.60 122.60 41.79
Fractional coordinates of all 10 atoms:
Pr: 0.1643 0.1643 0.2580
Pr: 0.8357 0.8357 0.7420
Re: 0.7772 0.2228 0.5000
B: 0.1420 0.1452 0.8121
B: 0.2456 0.7034 0.3802
B: 0.2966 0.7544 0.6198
B: 0.5026 0.4974 0.0000
B: 0.8548 0.8580 0.1879
Os: 0.3790 0.3556 0.0956
Os: 0.6444 0.6210 0.9044

Values from the calculation:
The total energy comes out at -8.229 eV/atom. For the size of the total moment, the calculation gives 0.000 μB per atom.

***

Computed, not measured: a relaxed structure of Sc2Al3Hg3 at the PBE level of DFT.

Lattice parameters (Å, degrees): 6.2448 6.2448 4.7007 90.00 90.00 120.00
Fractional coordinates of all 8 atoms:
Sc: 0.0000 0.0000 0.0000
Sc: 0.3333 0.6667 0.5000
Al: 0.5089 0.0178 0.0000
Al: 0.5089 0.4911 0.0000
Al: 0.9822 0.4911 0.0000
Hg: 0.3352 0.1676 0.5000
Hg: 0.8324 0.1676 0.5000
Hg: 0.8324 0.6648 0.5000

Values from the calculation:
The value obtained for the energy relative to the lowest polymorph listed for this composition is 0.0169 eV/atom. For the size of the total moment, the calculation gives 0.000 μB per atom.

***

Computed, not measured: a relaxed structure of TcTe2Au2 at the PBE level of DFT.

Lattice parameters (Å, degrees): 3.9367 3.9367 13.6665 90.00 90.00 90.00
Fractional coordinates of all 10 atoms:
Tc: 0.0000 0.0000 0.0000
Tc: 0.5000 0.5000 0.5000
Te: 0.0000 0.0000 0.3985
Te: 0.0000 0.0000 0.6015
Te: 0.5000 0.5000 0.1015
Te: 0.5000 0.5000 0.8985
Au: 0.0000 0.5000 0.2500
Au: 0.0000 0.5000 0.7500
Au: 0.5000 0.0000 0.2500
Au: 0.5000 0.0000 0.7500

Values from the calculation:
The value obtained for the energy relative to the lowest polymorph listed for this composition is 0.0000 eV/atom. For the size of the total moment, the calculation gives 0.499 μB per atom.

***

Computed, not measured: a relaxed structure of Hf2ZrSb4Pd4 at the PBE level of DFT.

Lattice parameters (Å, degrees): 6.8534 4.1812 8.0367 90.00 90.76 90.00
Fractional coordinates of all 11 atoms:
Hf: 0.0000 0.0000 0.0000
Hf: 0.4340 0.5000 0.5018
Zr: 0.9200 0.5000 0.6037
Sb: 0.2083 0.0000 0.6789
Sb: 0.2559 0.5000 0.1840
Sb: 0.6930 0.0000 0.3960
Sb: 0.7079 0.5000 0.9241
Pd: 0.0974 0.0000 0.3584
Pd: 0.3117 0.5000 0.8628
Pd: 0.6134 0.0000 0.7308
Pd: 0.8530 0.5000 0.2328

Values from the calculation:
The value obtained for the energy relative to the lowest polymorph listed for this composition is 0.0688 eV/atom. For the size of the total moment, the calculation gives 0.000 μB per atom.

***

Computed, not measured: a relaxed structure of Tb5GeTe5 at the PBE level of DFT.

Lattice parameters (Å, degrees): 7.5246 7.5246 8.6453 107.01 107.01 48.12
Fractional coordinates of all 11 atoms:
Tb: 0.0000 0.0000 0.0000
Tb: 0.3430 0.3430 0.1602
Tb: 0.3435 0.3435 0.6817
Tb: 0.6565 0.6565 0.3183
Tb: 0.6570 0.6570 0.8398
Ge: 0.5000 0.5000 0.0000
Te: 0.1641 0.1641 0.8256
Te: 0.1709 0.1709 0.3363
Te: 0.5000 0.5000 0.5000
Te: 0.8291 0.8291 0.6637
Te: 0.8359 0.8359 0.1744

Values from the calculation:
The total energy comes out at -5.306 eV/atom. For the size of the total moment, the calculation gives 0.000 μB per atom.

***

Computed, not measured: a relaxed structure of BaBeMo at the PBE level of DFT.

Lattice parameters (Å, degrees): 6.7892 6.7892 6.7892 90.00 90.00 90.00
Fractional coordinates of all 12 atoms:
Ba: 0.0000 0.0000 0.0000
Ba: 0.0000 0.5000 0.5000
Ba: 0.5000 0.0000 0.5000
Ba: 0.5000 0.5000 0.0000
Be: 0.2500 0.2500 0.2500
Be: 0.2500 0.7500 0.7500
Be: 0.7500 0.2500 0.7500
Be: 0.7500 0.7500 0.2500
Mo: 0.0000 0.0000 0.5000
Mo: 0.0000 0.5000 0.0000
Mo: 0.5000 0.0000 0.0000
Mo: 0.5000 0.5000 0.5000

Values from the calculation:
The value obtained for the energy relative to the lowest polymorph listed for this composition is 0.0000 eV/atom. For the size of the total moment, the calculation gives 0.879 μB per atom.

***

Computed, not measured: a relaxed structure of HoTmGa2Cu4 at the PBE level of DFT.

Lattice parameters (Å, degrees): 4.2566 4.2566 8.5597 90.00 90.00 120.00
Fractional coordinates of all 8 atoms:
Ho: 0.0000 0.0000 0.0000
Tm: 0.6667 0.3333 0.5000
Ga: 0.3333 0.6667 0.2515
Ga: 0.3333 0.6667 0.7485
Cu: 0.0000 0.0000 0.3339
Cu: 0.0000 0.0000 0.6661
Cu: 0.6667 0.3333 0.1708
Cu: 0.6667 0.3333 0.8292

Values from the calculation:
The total energy comes out at -4.123 eV/atom. For the size of the total moment, the calculation gives 0.001 μB per atom.

***

Computed, not measured: a relaxed structure of DyMgGe at the PBE level of DFT.

Lattice parameters (Å, degrees): 6.6232 6.6232 6.6232 90.00 90.00 90.00
Fractional coordinates of all 12 atoms:
Dy: 0.0000 0.0000 0.0000
Dy: 0.0000 0.5000 0.5000
Dy: 0.5000 0.0000 0.5000
Dy: 0.5000 0.5000 0.0000
Mg: 0.0000 0.0000 0.5000
Mg: 0.0000 0.5000 0.0000
Mg: 0.5000 0.0000 0.0000
Mg: 0.5000 0.5000 0.5000
Ge: 0.2500 0.2500 0.2500
Ge: 0.2500 0.7500 0.7500
Ge: 0.7500 0.2500 0.7500
Ge: 0.7500 0.7500 0.2500

Values from the calculation:
The total energy comes out at -4.054 eV/atom. For the size of the total moment, the calculation gives 0.000 μB per atom.

***

Computed, not measured: a relaxed structure of BiW at the PBE level of DFT.

Lattice parameters (Å, degrees): 3.3523 3.3523 4.3054 90.00 90.00 120.00
Fractional coordinates of all 2 atoms:
Bi: 0.0000 0.0000 0.0000
W: 0.6667 0.3333 0.5000

Values from the calculation:
The value obtained for the energy relative to the lowest polymorph listed for this composition is 0.7017 eV/atom. For the size of the total moment, the calculation gives 0.000 μB per atom.

***

Computed, not measured: a relaxed structure of K3ReClF6 at the PBE level of DFT.

Lattice parameters (Å, degrees): 7.9931 7.9931 5.8505 90.00 90.00 90.00
Fractional coordinates of all 22 atoms:
K: 0.0000 0.0000 0.0000
K: 0.1805 0.3195 0.5000
K: 0.3195 0.8195 0.5000
K: 0.5000 0.5000 0.0000
K: 0.6805 0.1805 0.5000
K: 0.8195 0.6805 0.5000
Re: 0.0000 0.5000 0.0000
Re: 0.5000 0.0000 0.0000
Cl: 0.0000 0.0000 0.5000
Cl: 0.5000 0.5000 0.5000
F: 0.1176 0.6176 0.2499
F: 0.1176 0.6176 0.7501
F: 0.1756 0.3244 0.0000
F: 0.3244 0.8244 0.0000
F: 0.3824 0.1176 0.2499
F: 0.3824 0.1176 0.7501
F: 0.6176 0.8824 0.2499
F: 0.6176 0.8824 0.7501
F: 0.6756 0.1756 0.0000
F: 0.8244 0.6756 0.0000
F: 0.8824 0.3824 0.2499
F: 0.8824 0.3824 0.7501

Values from the calculation:
The total energy comes out at -4.969 eV/atom. For the size of the total moment, the calculation gives 0.273 μB per atom.

***

Computed, not measured: a relaxed structure of YCuSnTe2S at the PBE level of DFT.

Lattice parameters (Å, degrees): 7.4500 7.4500 10.3117 90.00 90.00 147.50
Fractional coordinates of all 12 atoms:
Y: 0.0000 0.0000 0.0000
Y: 0.0000 0.0000 0.5000
Cu: 0.4821 0.5179 0.7500
Cu: 0.5179 0.4821 0.2500
Sn: 0.2730 0.7270 0.2500
Sn: 0.7270 0.2730 0.7500
Te: 0.3502 0.6498 0.5662
Te: 0.3502 0.6498 0.9338
Te: 0.6498 0.3502 0.0662
Te: 0.6498 0.3502 0.4338
S: 0.0684 0.9316 0.7500
S: 0.9316 0.0684 0.2500

Values from the calculation:
The total energy comes out at -4.881 eV/atom. For the size of the total moment, the calculation gives 0.001 μB per atom.

***

Computed, not measured: a relaxed structure of BaPdSeO at the PBE level of DFT.

Lattice parameters (Å, degrees): 6.5142 7.0504 14.7061 90.00 90.00 90.00
Fractional coordinates of all 32 atoms:
Ba: 0.2480 0.0492 0.1912
Ba: 0.2480 0.4508 0.6912
Ba: 0.2520 0.5492 0.1912
Ba: 0.2520 0.9508 0.6912
Ba: 0.7480 0.0492 0.3088
Ba: 0.7480 0.4508 0.8088
Ba: 0.7520 0.5492 0.3088
Ba: 0.7520 0.9508 0.8088
Pd: 0.0034 0.7287 0.5007
Pd: 0.0034 0.7713 0.0007
Pd: 0.4966 0.2287 0.5007
Pd: 0.4966 0.2713 0.0007
Pd: 0.5034 0.7287 0.9993
Pd: 0.5034 0.7713 0.4993
Pd: 0.9966 0.2287 0.9993
Pd: 0.9966 0.2713 0.4993
Se: 0.2221 0.5024 0.9366
Se: 0.2221 0.9976 0.4366
Se: 0.2779 0.0024 0.9366
Se: 0.2779 0.4976 0.4366
Se: 0.7221 0.5024 0.5634
Se: 0.7221 0.9976 0.0634
Se: 0.7779 0.0024 0.5634
Se: 0.7779 0.4976 0.0634
O: 0.0435 0.1983 0.7790
O: 0.0435 0.3017 0.2790
O: 0.4565 0.6983 0.7790
O: 0.4565 0.8017 0.2790
O: 0.5435 0.1983 0.7210
O: 0.5435 0.3017 0.2210
O: 0.9565 0.6983 0.7210
O: 0.9565 0.8017 0.2210

Values from the calculation:
The value obtained for the energy relative to the lowest polymorph listed for this composition is 0.0968 eV/atom.